Record 1
{
  "formula": "Rb2GeH5",
  "functional": "PBE-GGA",
  "state": "relaxed",
  "lattice": [[-3.011, 3.011, 4.054], [3.011, -3.011, 4.054], [3.011, 3.011, -4.054]],
  "species": ["Rb", "Rb", "Ge", "H", "H", "H", "H", "H"],
  "fractional_positions": [[0.000, 0.500, 0.500], [0.500, 0.000, 0.500], [0.248, 0.248, 0.000], [0.034, 0.034, 0.584], [0.034, 0.449, 0.000], [0.444, 0.444, 0.000], [0.449, 0.034, 0.000], [0.449, 0.449, 0.416]],
  "n_ef_per_ev_cell": 1.8,
  "vol_a3_per_atom": 18.38,
  "energy_ev_per_atom": -2.903
}



Record 2
{
  "formula": "RbGe3H",
  "functional": "PBE-GGA",
  "state": "relaxed",
  "lattice": [[4.673, 0.000, 0.000], [0.000, 4.673, 0.000], [0.000, 0.000, 4.673]],
  "species": ["Rb", "Ge", "Ge", "Ge", "H"],
  "fractional_positions": [[0.000, 0.000, 0.000], [0.000, 0.500, 0.500], [0.500, 0.000, 0.500], [0.500, 0.500, 0.000], [0.500, 0.500, 0.500]],
  "e_above_lowest_polymorph_ev_per_fu": 0.00,
  "n_ef_per_ev_cell": 2.5,
  "vol_a3_per_atom": 20.41
}



Record 3
{
  "formula": "RbGe2H",
  "functional": "PBE-GGA",
  "state": "relaxed",
  "lattice": [[0.000, 3.616, 3.616], [3.616, 0.000, 3.616], [3.616, 3.616, 0.000]],
  "species": ["Rb", "Ge", "Ge", "H"],
  "fractional_positions": [[0.000, 0.000, 0.000], [0.250, 0.250, 0.250], [0.750, 0.750, 0.750], [0.500, 0.500, 0.500]],
  "e_above_lowest_polymorph_ev_per_fu": 2.95,
  "n_ef_per_ev_cell": 1.4,
  "vol_a3_per_atom": 23.63
}



Record 4
{
  "formula": "Rb3GeH",
  "functional": "PBE-GGA",
  "state": "relaxed",
  "lattice": [[6.883, -3.974, 0.000], [6.883, 3.974, 0.000], [-4.607, 0.000, 7.474]],
  "species": ["Rb", "Rb", "Rb", "Rb", "Rb", "Rb", "Ge", "Ge", "H", "H"],
  "fractional_positions": [[0.000, 0.000, 0.000], [0.000, 0.495, 0.000], [0.341, 0.836, 0.519], [0.495, 0.000, 0.000], [0.835, 0.835, 0.519], [0.836, 0.341, 0.519], [0.365, 0.365, 0.603], [0.471, 0.471, 0.918], [0.085, 0.085, 0.761], [0.750, 0.750, 0.757]],
  "e_above_lowest_polymorph_ev_per_fu": 0.00,
  "n_ef_per_ev_cell": 2.6,
  "vol_a3_per_atom": 40.88
}



Record 5
{
  "formula": "Rb2GeH3",
  "functional": "PBE-GGA",
  "state": "relaxed",
  "lattice": [[5.225, -3.849, 0.000], [5.225, 3.849, 0.000], [-3.461, 0.000, 8.540]],
  "species": ["Rb", "Rb", "Rb", "Rb", "Ge", "Ge", "H", "H", "H", "H", "H", "H"],
  "fractional_positions": [[0.222, 0.239, 0.377], [0.239, 0.222, 0.877], [0.761, 0.778, 0.123], [0.778, 0.761, 0.623], [0.379, 0.621, 0.750], [0.621, 0.379, 0.250], [0.259, 0.725, 0.895], [0.275, 0.741, 0.605], [0.410, 0.590, 0.250], [0.590, 0.410, 0.750], [0.725, 0.259, 0.395], [0.741, 0.275, 0.105]],
  "n_ef_per_ev_cell": 3.0,
  "vol_a3_per_atom": 28.63,
  "energy_ev_per_atom": -2.629
}



Record 6
{
  "formula": "RbGe2H",
  "functional": "PBE-GGA",
  "state": "relaxed",
  "lattice": [[-3.195, 3.195, 4.600], [3.195, -3.195, 4.600], [3.195, 3.195, -4.600]],
  "species": ["Rb", "Rb", "Ge", "Ge", "Ge", "Ge", "H", "H"],
  "fractional_positions": [[0.375, 0.625, 0.750], [0.625, 0.375, 0.250], [0.000, 0.000, 0.000], [0.000, 0.000, 0.500], [0.000, 0.500, 0.000], [0.500, 0.000, 0.500], [0.125, 0.875, 0.250], [0.875, 0.125, 0.750]],
  "e_above_lowest_polymorph_ev_per_fu": 0.00,
  "n_ef_per_ev_cell": 5.5,
  "vol_a3_per_atom": 23.47
}